1.
Here is Ba2AlCo after structural relaxation from Alexandria via LeMat-Bulk. Energies are from PBE.

N(E_F), states/eV/f.u.: 7.7
Formation energy, eV/f.u.: 1.97
Space-group type: F-43m, No. 216
E_tot, eV/cell: -12.72

```
data_Ba2AlCo
_chemical_formula_sum 'Ba2 Al1 Co1'
_cell_length_a 5.432
_cell_length_b 5.432
_cell_length_c 5.432
_cell_angle_alpha 119.98
_cell_angle_beta 119.98
_cell_angle_gamma 90.03
_space_group_name_H-M_alt 'P 1'
_space_group_IT_number 1
_space_group_name_Hall 'P 1'
loop_
_atom_site_label
_atom_site_fract_x
_atom_site_fract_y
_atom_site_fract_z
Ba1 0.000 0.000 0.000
Ba2 0.250 0.750 0.500
Co1 0.500 0.500 0.000
Al1 0.750 0.250 0.500
```

2.
Here is YTlPdPb2 after structural relaxation from Alexandria via LeMat-Bulk. Energies are from PBE.

N(E_F), states/eV/f.u.: 3.0
Formation energy, eV/f.u.: 2.12
Space-group type: P4/mmm, No. 123
E_tot, eV/cell: -19.32

```
data_YTlPdPb2
_chemical_formula_sum 'Y1 Tl1 Pd1 Pb2'
_cell_length_a 5.689
_cell_length_b 5.053
_cell_length_c 5.689
_cell_angle_alpha 90.00
_cell_angle_beta 90.00
_cell_angle_gamma 90.00
_space_group_name_H-M_alt 'P 1'
_space_group_IT_number 1
_space_group_name_Hall 'P 1'
loop_
_atom_site_label
_atom_site_fract_x
_atom_site_fract_y
_atom_site_fract_z
Pb1 0.500 0.000 0.000
Pb2 0.000 0.000 0.500
Pd1 0.000 0.500 0.000
Y1 0.500 0.500 0.500
Tl1 0.000 0.000 0.000
```

3.
Here is PrInPd6 after structural relaxation from Alexandria via LeMat-Bulk. Energies are from PBE.

N(E_F), states/eV/f.u.: 7.3
Formation energy, eV/f.u.: -4.67
Space-group type: P4/mmm, No. 123
E_tot, eV/cell: -43.34

```
data_PrInPd6
_chemical_formula_sum 'Pr1 In1 Pd6'
_cell_length_a 4.155
_cell_length_b 4.155
_cell_length_c 8.185
_cell_angle_alpha 90.00
_cell_angle_beta 90.00
_cell_angle_gamma 90.00
_space_group_name_H-M_alt 'P 1'
_space_group_IT_number 1
_space_group_name_Hall 'P 1'
loop_
_atom_site_label
_atom_site_fract_x
_atom_site_fract_y
_atom_site_fract_z
Pd1 0.500 0.500 0.500
Pd2 0.500 0.500 0.000
Pd3 0.500 0.000 0.264
Pd4 0.500 0.000 0.736
Pd5 0.000 0.500 0.264
Pd6 0.000 0.500 0.736
In1 0.000 0.000 0.500
Pr1 0.000 0.000 0.000
```

4.
Here is TbNdHf after structural relaxation from Alexandria via LeMat-Bulk. Energies are from PBE.

N(E_F), states/eV/f.u.: 4.4
Formation energy, eV/f.u.: 0.44
Space-group type: I4mm, No. 107
E_tot, eV/cell: -18.91

```
data_TbNdHf
_chemical_formula_sum 'Tb1 Nd1 Hf1'
_cell_length_a 3.377
_cell_length_b 3.377
_cell_length_c 8.017
_cell_angle_alpha 102.16
_cell_angle_beta 102.16
_cell_angle_gamma 90.00
_space_group_name_H-M_alt 'P 1'
_space_group_IT_number 1
_space_group_name_Hall 'P 1'
loop_
_atom_site_label
_atom_site_fract_x
_atom_site_fract_y
_atom_site_fract_z
Hf1 0.330 0.330 0.659
Nd1 0.989 0.989 0.978
Tb1 0.681 0.681 0.362
```

> Among the records above, which one has the highest formation energy?

YTlPdPb2

> Which value of N(E_F) does entry 3 give?

7.3 states/eV/f.u.

Copy entry 1 word for word.
Here is Ba2AlCo after structural relaxation from Alexandria via LeMat-Bulk. Energies are from PBE.

N(E_F), states/eV/f.u.: 7.7
Formation energy, eV/f.u.: 1.97
Space-group type: F-43m, No. 216
E_tot, eV/cell: -12.72

```
data_Ba2AlCo
_chemical_formula_sum 'Ba2 Al1 Co1'
_cell_length_a 5.432
_cell_length_b 5.432
_cell_length_c 5.432
_cell_angle_alpha 119.98
_cell_angle_beta 119.98
_cell_angle_gamma 90.03
_space_group_name_H-M_alt 'P 1'
_space_group_IT_number 1
_space_group_name_Hall 'P 1'
loop_
_atom_site_label
_atom_site_fract_x
_atom_site_fract_y
_atom_site_fract_z
Ba1 0.000 0.000 0.000
Ba2 0.250 0.750 0.500
Co1 0.500 0.500 0.000
Al1 0.750 0.250 0.500
```

> Which of these has the lowest N(E_F)?

YTlPdPb2